Record 1
{"formula": "La2HIrPt", "functional": "PBE", "state": "optimized geometry", "crystal_system": "tetragonal", "e_above_lowest_polymorph_mev_per_atom": 0, "magnetic_moment_mub_per_cell": 0.00, "energy_ev_per_cell": -31.9, "lattice": [[5.228, 0.000, 0.000], [0.000, 5.228, 0.000], [0.000, 0.000, 3.633]], "species": ["La", "La", "H", "Ir", "Pt"], "frac_coords": [[0.000, 0.500, 0.000], [0.500, 0.000, 0.000], [0.000, 0.000, 0.000], [0.000, 0.000, 0.500], [0.500, 0.500, 0.500]]}

Record 2
{"formula": "CrNiP2", "functional": "PBE", "state": "optimized geometry", "crystal_system": "cubic", "magnetic_moment_mub_per_cell": 2.38, "delta_e_f_ev_per_atom": 0.32, "energy_ev_per_cell": -25.0, "lattice": [[0.000, 2.931, 2.931], [2.931, 0.000, 2.931], [2.931, 2.931, 0.000]], "species": ["Cr", "Ni", "P", "P"], "frac_coords": [[0.000, 0.000, 0.000], [0.250, 0.250, 0.250], [0.500, 0.500, 0.500], [0.750, 0.750, 0.750]]}

Record 3
{"formula": "AcPm4Zn5", "functional": "PBE", "state": "optimized geometry", "crystal_system": "tetragonal", "magnetic_moment_mub_per_cell": 0.00, "delta_e_f_ev_per_atom": -0.29, "energy_ev_per_cell": -32.4, "lattice": [[3.712, 0.000, 0.000], [0.000, 3.712, 0.000], [0.000, 0.000, 18.528]], "species": ["Ac", "Pm", "Pm", "Pm", "Pm", "Zn", "Zn", "Zn", "Zn", "Zn"], "frac_coords": [[0.000, 0.000, 0.000], [0.000, 0.000, 0.208], [0.000, 0.000, 0.403], [0.000, 0.000, 0.597], [0.000, 0.000, 0.792], [0.500, 0.500, 0.115], [0.500, 0.500, 0.305], [0.500, 0.500, 0.500], [0.500, 0.500, 0.695], [0.500, 0.500, 0.885]]}

Record 4
{"formula": "Np3UTl3Te8", "functional": "PBE", "state": "optimized geometry", "crystal_system": "trigonal", "raw_formation_energy_ev_per_atom": -0.58, "magnetic_moment_mub_per_cell": 14.00, "energy_ev_per_cell": -91.0, "lattice": [[4.437, 2.562, 8.255], [-4.437, 2.562, 8.255], [0.000, -5.124, 8.255]], "species": ["Np", "Np", "Np", "U", "Tl", "Tl", "Tl", "Te", "Te", "Te", "Te", "Te", "Te", "Te", "Te"], "frac_coords": [[0.000, 0.500, 0.500], [0.500, 0.000, 0.500], [0.500, 0.500, 0.000], [0.000, 0.000, 0.000], [0.000, 0.000, 0.500], [0.000, 0.500, 0.000], [0.500, 0.000, 0.000], [0.236, 0.236, 0.740], [0.236, 0.740, 0.236], [0.260, 0.764, 0.764], [0.262, 0.262, 0.262], [0.738, 0.738, 0.738], [0.740, 0.236, 0.236], [0.764, 0.260, 0.764], [0.764, 0.764, 0.260]]}

Record 5
{"formula": "NaLi4In5", "functional": "PBE", "state": "optimized geometry", "crystal_system": "tetragonal", "magnetic_moment_mub_per_cell": 0.00, "delta_e_f_ev_per_atom": -0.24, "energy_ev_per_cell": -25.0, "lattice": [[3.461, 0.000, 0.000], [0.000, 3.461, 0.000], [0.000, 0.000, 17.650]], "species": ["Na", "Li", "Li", "Li", "Li", "In", "In", "In", "In", "In"], "frac_coords": [[0.000, 0.000, 0.000], [0.000, 0.000, 0.226], [0.000, 0.000, 0.409], [0.000, 0.000, 0.591], [0.000, 0.000, 0.774], [0.500, 0.500, 0.129], [0.500, 0.500, 0.317], [0.500, 0.500, 0.500], [0.500, 0.500, 0.683], [0.500, 0.500, 0.871]]}